Record 1
# GdLuSc4, relaxed, DFT GGA-PBE
data_GdLuSc4
_chemical_formula_sum 'Gd1 Lu1 Sc4'
_space_group_name_H-M_alt 'P 1'
_space_group_IT_number 1
_cell_length_a 6.2194
_cell_length_b 6.2194
_cell_length_c 6.2194
_cell_angle_alpha 60.00
_cell_angle_beta 60.00
_cell_angle_gamma 60.00
loop_
_space_group_symop_operation_xyz
'x,y,z'
loop_
_atom_site_label
_atom_site_fract_x
_atom_site_fract_y
_atom_site_fract_z
Lu1 0.0000 0.0000 0.0000
Sc1 0.6248 0.6248 0.1255
Gd1 0.2500 0.2500 0.2500
Sc2 0.6248 0.6248 0.6248
Sc3 0.1255 0.6248 0.6248
Sc4 0.6248 0.1255 0.6248
# **D(E_F)**: 2.3816 states/eV/atom
# **VASP energy**: -42.7 eV per cell
# **Formation energy from the elements**: 0.20 eV/atom
# **Space group**: F-43m, No. 216

Record 2
# Gd2LuSc, relaxed, DFT GGA-PBE
data_Gd2LuSc
_chemical_formula_sum 'Gd2 Lu1 Sc1'
_space_group_name_H-M_alt 'P 1'
_space_group_IT_number 1
_cell_length_a 3.4781
_cell_length_b 3.4781
_cell_length_c 11.3661
_cell_angle_alpha 81.20
_cell_angle_beta 81.20
_cell_angle_gamma 60.00
loop_
_space_group_symop_operation_xyz
'x,y,z'
loop_
_atom_site_label
_atom_site_fract_x
_atom_site_fract_y
_atom_site_fract_z
Gd1 0.7524 0.7524 0.7429
Sc1 0.5000 0.5000 0.5000
Gd2 0.2476 0.2476 0.2571
Lu1 0.0000 0.0000 0.0000
# **D(E_F)**: 1.5363 states/eV/atom
# **VASP energy**: -38.8 eV per cell
# **Formation energy from the elements**: 0.05 eV/atom
# **Space group**: R-3m, No. 166

Record 3
# Gd2LuSc, relaxed, DFT GGA-PBE
data_Gd2LuSc
_chemical_formula_sum 'Gd2 Lu1 Sc1'
_space_group_name_H-M_alt 'P 1'
_space_group_IT_number 1
_cell_length_a 4.8082
_cell_length_b 4.9431
_cell_length_c 4.9431
_cell_angle_alpha 90.00
_cell_angle_beta 90.00
_cell_angle_gamma 90.00
loop_
_space_group_symop_operation_xyz
'x,y,z'
loop_
_atom_site_label
_atom_site_fract_x
_atom_site_fract_y
_atom_site_fract_z
Gd1 0.0000 0.5000 0.0000
Sc1 0.5000 0.0000 0.0000
Lu1 0.5000 0.5000 0.5000
Gd2 0.0000 0.0000 0.5000
# **D(E_F)**: 1.9602 states/eV/atom
# **VASP energy**: -38.8 eV per cell
# **Formation energy from the elements**: 0.05 eV/atom
# **Space group**: P4/mmm, No. 123

Record 4
# Gd2LuSc, relaxed, DFT GGA-PBE
data_Gd2LuSc
_chemical_formula_sum 'Gd2 Lu1 Sc1'
_space_group_name_H-M_alt 'P 1'
_space_group_IT_number 1
_cell_length_a 5.5136
_cell_length_b 5.5136
_cell_length_c 5.5136
_cell_angle_alpha 60.00
_cell_angle_beta 60.00
_cell_angle_gamma 60.00
loop_
_space_group_symop_operation_xyz
'x,y,z'
loop_
_atom_site_label
_atom_site_fract_x
_atom_site_fract_y
_atom_site_fract_z
Sc1 0.5000 0.5000 0.5000
Gd1 0.7500 0.7500 0.7500
Lu1 0.0000 0.0000 0.0000
Gd2 0.2500 0.2500 0.2500
# **D(E_F)**: 1.8226 states/eV/atom
# **VASP energy**: -38.6 eV per cell
# **Formation energy from the elements**: 0.09 eV/atom
# **Space group**: Fm-3m, No. 225

Record 5
# Gd2LuSc, relaxed, DFT GGA-PBE
data_Gd2LuSc
_chemical_formula_sum 'Gd2 Lu1 Sc1'
_space_group_name_H-M_alt 'P 1'
_space_group_IT_number 1
_cell_length_a 3.5162
_cell_length_b 3.5162
_cell_length_c 9.5206
_cell_angle_alpha 90.00
_cell_angle_beta 90.00
_cell_angle_gamma 90.00
loop_
_space_group_symop_operation_xyz
'x,y,z'
loop_
_atom_site_label
_atom_site_fract_x
_atom_site_fract_y
_atom_site_fract_z
Gd1 0.0000 0.0000 0.7589
Lu1 0.5000 0.5000 0.5000
Gd2 0.0000 0.0000 0.2411
Sc1 0.5000 0.5000 0.0000
# **D(E_F)**: 1.9288 states/eV/atom
# **VASP energy**: -38.8 eV per cell
# **Formation energy from the elements**: 0.05 eV/atom
# **Space group**: P4/mmm, No. 123

Record 6
# GdLuSc, relaxed, DFT GGA-PBE
data_GdLuSc
_chemical_formula_sum 'Gd1 Lu1 Sc1'
_space_group_name_H-M_alt 'P 1'
_space_group_IT_number 1
_cell_length_a 3.4422
_cell_length_b 3.4422
_cell_length_c 8.3354
_cell_angle_alpha 90.00
_cell_angle_beta 90.00
_cell_angle_gamma 120.00
loop_
_space_group_symop_operation_xyz
'x,y,z'
loop_
_atom_site_label
_atom_site_fract_x
_atom_site_fract_y
_atom_site_fract_z
Lu1 0.3333 0.6667 0.6770
Gd1 0.6667 0.3333 0.3263
Sc1 0.0000 0.0000 0.9966
# **D(E_F)**: 1.4748 states/eV/atom
# **VASP energy**: -24.8 eV per cell
# **Formation energy from the elements**: 0.05 eV/atom
# **Space group**: P3m1, No. 156

Record 7
# GdLuSc, relaxed, DFT GGA-PBE
data_GdLuSc
_chemical_formula_sum 'Gd1 Lu1 Sc1'
_space_group_name_H-M_alt 'P 1'
_space_group_IT_number 1
_cell_length_a 3.4611
_cell_length_b 3.4611
_cell_length_c 7.5716
_cell_angle_alpha 103.21
_cell_angle_beta 103.21
_cell_angle_gamma 90.00
loop_
_space_group_symop_operation_xyz
'x,y,z'
loop_
_atom_site_label
_atom_site_fract_x
_atom_site_fract_y
_atom_site_fract_z
Lu1 0.0065 0.0065 0.0131
Sc1 0.6645 0.6645 0.3290
Gd1 0.3290 0.3290 0.6579
# **D(E_F)**: 1.6061 states/eV/atom
# **VASP energy**: -24.8 eV per cell
# **Formation energy from the elements**: 0.05 eV/atom
# **Space group**: I4mm, No. 107

Record 8
# GdLuSc2, relaxed, DFT GGA-PBE
data_GdLuSc2
_chemical_formula_sum 'Gd1 Lu1 Sc2'
_space_group_name_H-M_alt 'P 1'
_space_group_IT_number 1
_cell_length_a 4.6963
_cell_length_b 4.8325
_cell_length_c 4.8325
_cell_angle_alpha 90.00
_cell_angle_beta 90.00
_cell_angle_gamma 90.00
loop_
_space_group_symop_operation_xyz
'x,y,z'
loop_
_atom_site_label
_atom_site_fract_x
_atom_site_fract_y
_atom_site_fract_z
Sc1 0.0000 0.0000 0.5000
Gd1 0.5000 0.0000 0.0000
Lu1 0.5000 0.5000 0.5000
Sc2 0.0000 0.5000 0.0000
# **D(E_F)**: 1.8467 states/eV/atom
# **VASP energy**: -31.0 eV per cell
# **Formation energy from the elements**: 0.05 eV/atom
# **Space group**: P4/mmm, No. 123

Record 9
# SmGdLuSc, relaxed, DFT GGA-PBE
data_SmGdLuSc
_chemical_formula_sum 'Sm1 Gd1 Lu1 Sc1'
_space_group_name_H-M_alt 'P 1'
_space_group_IT_number 1
_cell_length_a 5.5346
_cell_length_b 5.5346
_cell_length_c 5.5346
_cell_angle_alpha 60.00
_cell_angle_beta 60.00
_cell_angle_gamma 60.00
loop_
_space_group_symop_operation_xyz
'x,y,z'
loop_
_atom_site_label
_atom_site_fract_x
_atom_site_fract_y
_atom_site_fract_z
Lu1 0.5000 0.5000 0.5000
Gd1 0.2500 0.2500 0.2500
Sm1 0.7500 0.7500 0.7500
Sc1 0.0000 0.0000 0.0000
# **D(E_F)**: 1.5210 states/eV/atom
# **VASP energy**: -29.3 eV per cell
# **Formation energy from the elements**: 0.09 eV/atom
# **Space group**: F-43m, No. 216

Record 10
# TbGdLuSc, relaxed, DFT GGA-PBE
data_TbGdLuSc
_chemical_formula_sum 'Tb1 Gd1 Lu1 Sc1'
_space_group_name_H-M_alt 'P 1'
_space_group_IT_number 1
_cell_length_a 5.5089
_cell_length_b 5.5089
_cell_length_c 5.5089
_cell_angle_alpha 60.00
_cell_angle_beta 60.00
_cell_angle_gamma 60.00
loop_
_space_group_symop_operation_xyz
'x,y,z'
loop_
_atom_site_label
_atom_site_fract_x
_atom_site_fract_y
_atom_site_fract_z
Tb1 0.7500 0.7500 0.7500
Gd1 0.2500 0.2500 0.2500
Sc1 0.5000 0.5000 0.5000
Lu1 0.0000 0.0000 0.0000
# **D(E_F)**: 1.6052 states/eV/atom
# **VASP energy**: -29.2 eV per cell
# **Formation energy from the elements**: 0.09 eV/atom
# **Space group**: F-43m, No. 216

Record 11
# GdLuScZn, relaxed, DFT GGA-PBE
data_GdLuScZn
_chemical_formula_sum 'Gd1 Lu1 Sc1 Zn1'
_space_group_name_H-M_alt 'P 1'
_space_group_IT_number 1
_cell_length_a 5.1891
_cell_length_b 5.1891
_cell_length_c 5.1891
_cell_angle_alpha 60.00
_cell_angle_beta 60.00
_cell_angle_gamma 60.00
loop_
_space_group_symop_operation_xyz
'x,y,z'
loop_
_atom_site_label
_atom_site_fract_x
_atom_site_fract_y
_atom_site_fract_z
Zn1 0.5000 0.5000 0.5000
Gd1 0.2500 0.2500 0.2500
Lu1 0.7500 0.7500 0.7500
Sc1 0.0000 0.0000 0.0000
# **D(E_F)**: 1.1540 states/eV/atom
# **VASP energy**: -26.2 eV per cell
# **Formation energy from the elements**: 0.00 eV/atom
# **Space group**: F-43m, No. 216

Record 12
# GdLuZrSc, relaxed, DFT GGA-PBE
data_GdLuZrSc
_chemical_formula_sum 'Gd1 Lu1 Zr1 Sc1'
_space_group_name_H-M_alt 'P 1'
_space_group_IT_number 1
_cell_length_a 5.3293
_cell_length_b 5.3293
_cell_length_c 5.3293
_cell_angle_alpha 60.00
_cell_angle_beta 60.00
_cell_angle_gamma 60.00
loop_
_space_group_symop_operation_xyz
'x,y,z'
loop_
_atom_site_label
_atom_site_fract_x
_atom_site_fract_y
_atom_site_fract_z
Gd1 0.2500 0.2500 0.2500
Sc1 0.0000 0.0000 0.0000
Zr1 0.7500 0.7500 0.7500
Lu1 0.5000 0.5000 0.5000
# **D(E_F)**: 2.0292 states/eV/atom
# **VASP energy**: -32.8 eV per cell
# **Formation energy from the elements**: 0.16 eV/atom
# **Space group**: F-43m, No. 216

Record 13
# GdLuSe, relaxed, DFT GGA-PBE
data_GdLuSe
_chemical_formula_sum 'Gd1 Lu1 Se1'
_space_group_name_H-M_alt 'P 1'
_space_group_IT_number 1
_cell_length_a 3.8136
_cell_length_b 3.8136
_cell_length_c 6.5378
_cell_angle_alpha 90.00
_cell_angle_beta 90.00
_cell_angle_gamma 120.00
loop_
_space_group_symop_operation_xyz
'x,y,z'
loop_
_atom_site_label
_atom_site_fract_x
_atom_site_fract_y
_atom_site_fract_z
Lu1 0.3333 0.6667 0.6151
Se1 0.6667 0.3333 0.3392
Gd1 0.0000 0.0000 0.0456
# **D(E_F)**: 1.0423 states/eV/atom
# **Uncorrected formation energy**: -1.10 eV per atom
# **VASP energy**: -25.4 eV per cell
# **Space group**: P3m1, No. 156

Record 14
# Gd2LuSe, relaxed, DFT GGA-PBE
data_Gd2LuSe
_chemical_formula_sum 'Gd2 Lu1 Se1'
_space_group_name_H-M_alt 'P 1'
_space_group_IT_number 1
_cell_length_a 3.6044
_cell_length_b 3.6044
_cell_length_c 8.6328
_cell_angle_alpha 90.00
_cell_angle_beta 90.00
_cell_angle_gamma 90.00
loop_
_space_group_symop_operation_xyz
'x,y,z'
loop_
_atom_site_label
_atom_site_fract_x
_atom_site_fract_y
_atom_site_fract_z
Se1 0.5000 0.5000 0.0000
Gd1 0.0000 0.0000 0.2049
Lu1 0.5000 0.5000 0.5000
Gd2 0.0000 0.0000 0.7951
# **D(E_F)**: 1.4603 states/eV/atom
# **Uncorrected formation energy**: -0.71 eV per atom
# **VASP energy**: -39.0 eV per cell
# **Space group**: P4/mmm, No. 123

Record 15
# GdLuSe, relaxed, DFT GGA-PBE
data_GdLuSe
_chemical_formula_sum 'Gd1 Lu1 Se1'
_space_group_name_H-M_alt 'P 1'
_space_group_IT_number 1
_cell_length_a 3.5813
_cell_length_b 3.5813
_cell_length_c 6.5704
_cell_angle_alpha 105.81
_cell_angle_beta 105.81
_cell_angle_gamma 90.00
loop_
_space_group_symop_operation_xyz
'x,y,z'
loop_
_atom_site_label
_atom_site_fract_x
_atom_site_fract_y
_atom_site_fract_z
Gd1 0.9811 0.9811 0.9622
Se1 0.3288 0.3288 0.6576
Lu1 0.6901 0.6901 0.3802
# **D(E_F)**: 0.9617 states/eV/atom
# **Uncorrected formation energy**: -0.95 eV per atom
# **VASP energy**: -24.9 eV per cell
# **Space group**: I4mm, No. 107